# 1
First-principles (PBE) data for a relaxed LiCa2PrTl4 crystal, as listed in Alexandria via LeMat-Bulk.

For the uncorrected energy, the calculation gives -69.0 eV per cell.

The structure belongs to space group R-3m (No. 166, hexagonal axes); the cell edges are 5.3903, 5.3903 and 26.9314 Å and the angles 90.00°, 90.00° and 120.00°. The inequivalent atoms are Li at (0.0000, 0.0000, 0.0000), Ca at (0.0000, 0.0000, 0.2538), Pr at (0.0000, 0.0000, 0.5000), Tl at (0.0000, 0.0000, 0.1206) and Tl at (0.0000, 0.0000, 0.3731).

---

# 2
First-principles (PBE) data for a relaxed LiCaPr2Tl4 crystal, as listed in Alexandria via LeMat-Bulk.

For the uncorrected energy, the calculation gives -77.5 eV per cell.

The structure belongs to space group R-3m (No. 166, hexagonal axes); the cell edges are 5.4244, 5.4244 and 26.8186 Å and the angles 90.00°, 90.00° and 120.00°. The inequivalent atoms are Li at (0.0000, 0.0000, 0.0000), Ca at (0.0000, 0.0000, 0.5000), Pr at (0.0000, 0.0000, 0.2533), Tl at (0.0000, 0.0000, 0.1220) and Tl at (0.0000, 0.0000, 0.3735).

---

# 3
First-principles (PBE) data for a relaxed Li2CaPrTl2 crystal, as listed in Alexandria via LeMat-Bulk.

For the uncorrected energy, the calculation gives -17.2 eV per cell.

The structure belongs to space group P-3m1 (No. 164); the cell edges are 4.9848, 4.9848 and 7.4306 Å and the angles 90.00°, 90.00° and 120.00°. The inequivalent atoms are Li at (0.3333, 0.6667, 0.2535), Ca at (0.0000, 0.0000, 0.0000), Pr at (0.0000, 0.0000, 0.5000) and Tl at (0.3333, 0.6667, 0.7267).

---

# 4
First-principles (PBE) data for a relaxed LiCaPrTm crystal, as listed in Alexandria via LeMat-Bulk.

For the uncorrected energy, the calculation gives -49.5 eV per cell.

The structure belongs to space group F-43m (No. 216); the cell edges are 8.006, 8.006 and 8.006 Å and the angles 90.00°, 90.00° and 90.00°. The inequivalent atoms are Li at (0.000, 0.000, 0.000), Ca at (0.250, 0.250, 0.250), Pr at (0.250, 0.250, 0.750) and Tm at (0.000, 0.000, 0.500).

---

# 5
First-principles (PBE) data for a relaxed LiCaPrZn crystal, as listed in Alexandria via LeMat-Bulk.

For the uncorrected energy, the calculation gives -41.8 eV per cell.

The structure belongs to space group F-43m (No. 216); the cell edges are 7.509, 7.509 and 7.509 Å and the angles 90.00°, 90.00° and 90.00°. The inequivalent atoms are Li at (0.000, 0.000, 0.000), Ca at (0.250, 0.250, 0.250), Pr at (0.250, 0.250, 0.750) and Zn at (0.000, 0.000, 0.500).

---

# 6
First-principles (PBE) data for a relaxed Li3CaPt crystal, as listed in Alexandria via LeMat-Bulk.

As for the excess energy over the best structure of this formula in the dataset: 30 meV per atom.

The structure belongs to space group P1 (No. 1); the cell edges are 4.759, 5.004 and 5.139 Å and the angles 69.75°, 88.60° and 62.27°. The inequivalent atoms are Li at (0.000, 0.000, 0.000), Li at (0.175, 0.639, 0.639), Li at (0.496, 0.996, 0.664), Ca at (0.760, 0.475, 0.279) and Pt at (0.409, 0.179, 0.124).

---

# 7
First-principles (PBE) data for a relaxed LiCa6Pt2 crystal, as listed in Alexandria via LeMat-Bulk.

For the uncorrected energy, the calculation gives -123.2 eV per cell.

The structure belongs to space group Immm (No. 71); the cell edges are 9.681, 9.885 and 11.188 Å and the angles 90.00°, 90.00° and 90.00°. The inequivalent atoms are Li at (0.000, 0.000, 0.000), Li at (0.000, 0.000, 0.500), Ca at (0.000, 0.204, 0.242), Ca at (0.178, 0.500, 0.157), Ca at (0.207, 0.323, 0.500), Pt at (0.000, 0.300, 0.000) and Pt at (0.000, 0.500, 0.367).

---

# 8
First-principles (PBE) data for a relaxed LiCaPt crystal, as listed in Alexandria via LeMat-Bulk.

For the uncorrected energy, the calculation gives -41.4 eV per cell.

The structure belongs to space group F-43m (No. 216); the cell edges are 6.609, 6.609 and 6.609 Å and the angles 90.00°, 90.00° and 90.00°. The inequivalent atoms are Li at (0.000, 0.000, 0.000), Ca at (0.250, 0.250, 0.750) and Pt at (0.000, 0.000, 0.500).

---

# 9
First-principles (PBE) data for a relaxed Li5CaPt2 crystal, as listed in Alexandria via LeMat-Bulk.

For the uncorrected energy, the calculation gives -54.3 eV per cell.

The structure belongs to space group Immm (No. 71); the cell edges are 4.036, 7.900 and 9.419 Å and the angles 90.00°, 90.00° and 90.00°. The inequivalent atoms are Li at (0.000, 0.000, 0.000), Li at (0.000, 0.321, 0.329), Ca at (0.000, 0.500, 0.000) and Pt at (0.000, 0.000, 0.269).

---

# 10
First-principles (PBE) data for a relaxed Li2CaPt crystal, as listed in Alexandria via LeMat-Bulk.

For the uncorrected energy, the calculation gives -52.8 eV per cell.

The structure belongs to space group I-42d (No. 122); the cell edges are 4.125, 4.125 and 19.530 Å and the angles 90.00°, 90.00° and 90.00°. The inequivalent atoms are Li at (0.174, 0.250, 0.125), Ca at (0.000, 0.000, 0.500) and Pt at (0.000, 0.000, 0.000).

---

# 11
First-principles (PBE) data for a relaxed Li2CaPt crystal, as listed in Alexandria via LeMat-Bulk.

For the uncorrected energy, the calculation gives -13.5 eV per cell.

The structure belongs to space group P4/mmm (No. 123); the cell edges are 4.109, 4.109 and 4.614 Å and the angles 90.00°, 90.00° and 90.00°. The inequivalent atoms are Li at (0.000, 0.500, 0.000), Ca at (0.000, 0.000, 0.500) and Pt at (0.500, 0.500, 0.500).

---

# 12
First-principles (PBE) data for a relaxed Li3CaPt crystal, as listed in Alexandria via LeMat-Bulk.

As for the excess energy over the best structure of this formula in the dataset: 0 meV per atom.

The structure belongs to space group P2_1/m (No. 11); the cell edges are 5.556, 5.574 and 7.155 Å and the angles 90.00°, 110.35° and 90.00°. The inequivalent atoms are Li at (0.011, 0.003, 0.299), Li at (0.480, 0.750, 0.617), Ca at (0.403, 0.750, 0.110) and Pt at (0.162, 0.250, 0.037).

---

# 13
First-principles (PBE) data for a relaxed Li2CaPt crystal, as listed in Alexandria via LeMat-Bulk.

For the uncorrected energy, the calculation gives -35.2 eV per cell.

The structure belongs to space group R-3m (No. 166, hexagonal axes); the cell edges are 3.1659, 3.1659 and 29.2687 Å and the angles 90.00°, 90.00° and 120.00°. The inequivalent atoms are Li at (0.0000, 0.0000, 0.2307), Ca at (0.0000, 0.0000, 0.0000) and Pt at (0.0000, 0.0000, 0.5000).

---

# 14
First-principles (PBE) data for a relaxed LiCa4Pt crystal, as listed in Alexandria via LeMat-Bulk.

As for the excess energy over the best structure of this formula in the dataset: 106 meV per atom.

The structure belongs to space group P4/mmm (No. 123); the cell edges are 5.089, 5.089 and 7.617 Å and the angles 90.00°, 90.00° and 90.00°. The inequivalent atoms are Li at (0.000, 0.000, 0.000), Ca at (0.000, 0.500, 0.276) and Pt at (0.500, 0.500, 0.500).

---

# 15
First-principles (PBE) data for a relaxed LiCa2Pt3 crystal, as listed in Alexandria via LeMat-Bulk.

For the uncorrected energy, the calculation gives -54.1 eV per cell.

The structure belongs to space group Immm (No. 71); the cell edges are 2.956, 5.093 and 15.831 Å and the angles 90.00°, 90.00° and 90.00°. The inequivalent atoms are Li at (0.000, 0.000, 0.000), Ca at (0.000, 0.000, 0.339), Pt at (0.000, 0.000, 0.157) and Pt at (0.000, 0.500, 0.000).

---

# 16
First-principles (PBE) data for a relaxed Li3CaPt crystal, as listed in Alexandria via LeMat-Bulk.

As for the excess energy over the best structure of this formula in the dataset: 169 meV per atom.

The structure belongs to space group Pm-3m (No. 221); the cell edges are 4.795, 4.795 and 4.795 Å and the angles 90.00°, 90.00° and 90.00°. The inequivalent atoms are Li at (0.000, 0.000, 0.500), Ca at (0.500, 0.500, 0.500) and Pt at (0.000, 0.000, 0.000).

---

# 17
First-principles (PBE) data for a relaxed LiCaPt crystal, as listed in Alexandria via LeMat-Bulk.

For the uncorrected energy, the calculation gives -44.8 eV per cell.

The structure belongs to space group F-43m (No. 216); the cell edges are 6.252, 6.252 and 6.252 Å and the angles 90.00°, 90.00° and 90.00°. The inequivalent atoms are Li at (0.000, 0.000, 0.000), Ca at (0.250, 0.250, 0.750) and Pt at (0.250, 0.250, 0.250).

---

# 18
First-principles (PBE) data for a relaxed Li2CaPt crystal, as listed in Alexandria via LeMat-Bulk.

For the uncorrected energy, the calculation gives -13.1 eV per cell.

The structure belongs to space group P4/mmm (No. 123); the cell edges are 3.551, 3.551 and 5.998 Å and the angles 90.00°, 90.00° and 90.00°. The inequivalent atoms are Li at (0.000, 0.000, 0.183), Ca at (0.500, 0.500, 0.500) and Pt at (0.500, 0.500, 0.000).

---

# 19
First-principles (PBE) data for a relaxed LiCa3Pt8 crystal, as listed in Alexandria via LeMat-Bulk.

For the uncorrected energy, the calculation gives -199.4 eV per cell.

The structure belongs to space group R3m (No. 160, hexagonal axes); the cell edges are 5.4209, 5.4209 and 26.3903 Å and the angles 90.00°, 90.00° and 120.00°. The inequivalent atoms are Li at (0.0000, 0.0000, 0.0000), Ca at (0.0000, 0.0000, 0.1236), Ca at (0.0000, 0.0000, 0.5055), Ca at (0.0000, 0.0000, 0.6333), Pt at (0.0000, 0.0000, 0.3174), Pt at (0.0000, 0.0000, 0.8172), Pt at (0.0003, 0.5002, 0.5676) and Pt at (0.0006, 0.5003, 0.0668).

---

# 20
First-principles (PBE) data for a relaxed Li8CaPt4 crystal, as listed in Alexandria via LeMat-Bulk.

For the uncorrected energy, the calculation gives -96.9 eV per cell.

The structure belongs to space group I4/mmm (No. 139); the cell edges are 8.715, 8.715 and 5.518 Å and the angles 90.00°, 90.00° and 90.00°. The inequivalent atoms are Li at (0.000, 0.228, 0.000), Li at (0.000, 0.338, 0.500), Ca at (0.000, 0.000, 0.500) and Pt at (0.250, 0.250, 0.250).

---

# 21
First-principles (PBE) data for a relaxed Li2CaPt crystal, as listed in Alexandria via LeMat-Bulk.

For the uncorrected energy, the calculation gives -28.2 eV per cell.

The structure belongs to space group Pmmn (No. 59, origin choice 2); the cell edges are 4.431, 5.569 and 6.373 Å and the angles 90.00°, 90.00° and 90.00°. The inequivalent atoms are Li at (0.250, 0.014, 0.105), Ca at (0.250, 0.250, 0.572) and Pt at (0.250, 0.750, 0.754).

---

# 22
First-principles (PBE) data for a relaxed Li9CaPt2 crystal, as listed in Alexandria via LeMat-Bulk.

For the uncorrected energy, the calculation gives -138.8 eV per cell.

The structure belongs to space group I4_1/amd (No. 141, origin choice 2); the cell edges are 11.043, 11.043 and 7.109 Å and the angles 90.00°, 90.00° and 90.00°. The inequivalent atoms are Li at (0.000, 0.250, 0.375), Li at (0.122, 0.053, 0.199), Ca at (0.000, 0.250, 0.875) and Pt at (0.000, 0.000, 0.500).

---

# 23
First-principles (PBE) data for a relaxed Li2CaPt3 crystal, as listed in Alexandria via LeMat-Bulk.

For the uncorrected energy, the calculation gives -113.2 eV per cell.

The structure belongs to space group Imma (No. 74); the cell edges are 8.010, 9.334 and 5.466 Å and the angles 90.00°, 90.00° and 90.00°. The inequivalent atoms are Li at (0.000, 0.083, 0.249), Ca at (0.000, 0.250, 0.748), Pt at (0.250, 0.000, 0.000) and Pt at (0.250, 0.250, 0.250).

---

# 24
First-principles (PBE) data for a relaxed LiCaPt3 crystal, as listed in Alexandria via LeMat-Bulk.

As for the excess energy over the best structure of this formula in the dataset: 0 meV per atom.

The structure belongs to space group Pm-3m (No. 221); the cell edges are 4.399, 4.399 and 4.399 Å and the angles 90.00°, 90.00° and 90.00°. The inequivalent atoms are Li at (0.000, 0.000, 0.000), Ca at (0.500, 0.500, 0.500) and Pt at (0.000, 0.000, 0.500).

---

# 25
First-principles (PBE) data for a relaxed Li2CaPt crystal, as listed in Alexandria via LeMat-Bulk.

For the uncorrected energy, the calculation gives -54.6 eV per cell.

The structure belongs to space group F-43m (No. 216); the cell edges are 6.757, 6.757 and 6.757 Å and the angles 90.00°, 90.00° and 90.00°. The inequivalent atoms are Li at (0.000, 0.000, 0.000), Li at (0.250, 0.250, 0.250), Ca at (0.000, 0.000, 0.500) and Pt at (0.250, 0.250, 0.750).